VASP calculation (PBE) on a relaxed ZnFe2W crystal.

E_form in kJ per mole of atoms: 24.0
Uncorrected energy in eV per formula unit: -30.2

a = 8.605 Å, b = 8.605 Å, c = 8.605 Å
α = 18.19°, β = 18.19°, γ = 18.19°
Each line ends with the local moment (μB).
Fractional positions:
Zn1 0.745 0.745 0.745  -0.02
Fe1 0.995 0.995 0.995  2.41
W1 0.505 0.505 0.505  -0.21
Fe2 0.255 0.255 0.255  1.72